The following is a PBE calculation of crystalline La3InW at its relaxed geometry, from Alexandria via LeMat-Bulk.

Properties
The value obtained for the formation energy is 261 meV per atom. Its symmetry is Pm-3m. As for the energy above the lowest structure with this stoichiometry: 0 meV/atom.

Cell lengths 5.558, 5.558, 5.558 Å; angles 90.00, 90.00, 90.00 degrees
Sites, in units of the cell vectors:
W1 0.000 0.000 0.000
La1 0.500 0.000 0.000
La2 0.000 0.000 0.500
In1 0.500 0.500 0.500
La3 0.000 0.500 0.000